Density functional theory data (PBE) for crystalline Ta2Nb5Co6 at its relaxed geometry.

Unit cell a=9.1762 b=9.1762 c=9.1762 alpha=31.38 beta=31.38 gamma=31.38
Positions (direct):
Ta  0.1663  0.1663  0.1663
Ta  0.8337  0.8337  0.8337
Nb  0.0000  0.0000  0.0000
Nb  0.3465  0.3465  0.3465
Nb  0.4502  0.4502  0.4502
Nb  0.5498  0.5498  0.5498
Nb  0.6535  0.6535  0.6535
Co  0.0915  0.0915  0.5799
Co  0.0915  0.5799  0.0915
Co  0.4201  0.9085  0.9085
Co  0.5799  0.0915  0.0915
Co  0.9085  0.4201  0.9085
Co  0.9085  0.9085  0.4201

Values from the calculation:
The energy of formation comes out at -0.202 eV per atom. The energy comes out at -9.19 eV per atom. Its excess energy over the best structure of this formula in the dataset is 0 meV/atom.


Density functional theory data (PBE) for crystalline CsTh2Te6 at its relaxed geometry.

Unit cell a=13.1833 b=13.1833 c=13.1833 alpha=160.44 beta=152.85 gamma=33.68
Positions (direct):
Cs  0.0000  0.0000  0.0000
Th  0.3179  0.8179  0.5000
Th  0.6821  0.1821  0.5000
Te  0.1414  0.3880  0.7533
Te  0.2271  0.2271  0.0000
Te  0.3653  0.6120  0.7533
Te  0.6347  0.3880  0.2467
Te  0.7729  0.7729  0.0000
Te  0.8586  0.6120  0.2467

Values from the calculation:
The energy comes out at -4.96 eV per atom.


Density functional theory data (PBE) for crystalline Tb4Al4O11 at its relaxed geometry.

Unit cell a=5.1951 b=7.3576 c=5.3211 alpha=90.00 beta=90.14 gamma=90.00
Positions (direct):
Tb  0.0000  0.0000  0.0000
Tb  0.0176  0.5000  0.0964
Tb  0.5005  0.5000  0.6014
Tb  0.5198  0.0000  0.4982
Al  0.0106  0.2513  0.5487
Al  0.0106  0.7487  0.5487
Al  0.5100  0.2548  0.0501
Al  0.5100  0.7452  0.0501
O  0.0884  0.0000  0.5682
O  0.2194  0.2932  0.8398
O  0.2194  0.7068  0.8398
O  0.3014  0.2916  0.3407
O  0.3014  0.7084  0.3407
O  0.4313  0.0000  0.0673
O  0.7193  0.2106  0.7580
O  0.7193  0.7894  0.7580
O  0.8023  0.2097  0.2565
O  0.8023  0.7903  0.2565
O  0.9302  0.5000  0.5296

Values from the calculation:
The energy comes out at -7.79 eV per atom.


Density functional theory data (PBE) for crystalline SrCdSO at its relaxed geometry.

Unit cell a=7.2006 b=3.7230 c=12.5933 alpha=90.00 beta=90.00 gamma=90.00
Positions (direct):
Sr  0.0663  0.2500  0.2284
Sr  0.4337  0.7500  0.7284
Sr  0.5663  0.2500  0.2716
Sr  0.9337  0.7500  0.7716
Cd  0.2046  0.7500  0.4623
Cd  0.2954  0.2500  0.9623
Cd  0.7046  0.7500  0.0377
Cd  0.7954  0.2500  0.5377
S  0.1571  0.2500  0.6248
S  0.3429  0.7500  0.1248
S  0.6571  0.2500  0.8752
S  0.8429  0.7500  0.3752
O  0.2096  0.7500  0.8754
O  0.2904  0.2500  0.3754
O  0.7096  0.7500  0.6246
O  0.7904  0.2500  0.1246

Values from the calculation:
The energy comes out at -4.41 eV per atom.


Density functional theory data (PBE) for crystalline La2GdSn4Pb3 at its relaxed geometry.

Unit cell a=13.2594 b=13.2594 c=4.7334 alpha=90.00 beta=90.00 gamma=159.72
Positions (direct):
La  0.1831  0.8169  0.0000
La  0.8169  0.1831  0.0000
Gd  0.0000  0.0000  0.0000
Sn  0.0934  0.9066  0.5000
Sn  0.4073  0.5927  0.0000
Sn  0.5927  0.4073  0.0000
Sn  0.9066  0.0934  0.5000
Pb  0.2925  0.7075  0.5000
Pb  0.5000  0.5000  0.5000
Pb  0.7075  0.2925  0.5000

Values from the calculation:
The energy comes out at -4.70 eV per atom. Its excess energy over the best structure of this formula in the dataset is 11 meV/atom.


Density functional theory data (PBE) for crystalline LuMgReTe at its relaxed geometry.

Unit cell a=4.8102 b=4.8102 c=4.8102 alpha=60.00 beta=60.00 gamma=60.00
Positions (direct):
Lu  0.0000  0.0000  0.0000
Mg  0.7500  0.7500  0.7500
Re  0.2500  0.2500  0.2500
Te  0.5000  0.5000  0.5000

Values from the calculation:
The energy comes out at -5.14 eV per atom. Its excess energy over the best structure of this formula in the dataset is 35 meV/atom.


Density functional theory data (PBE) for crystalline AgOsSeO at its relaxed geometry.

Unit cell a=6.8121 b=5.8852 c=6.4433 alpha=90.00 beta=96.69 gamma=90.00
Positions (direct):
Ag  0.0781  0.1961  0.1108
Ag  0.0781  0.3039  0.6108
Ag  0.9219  0.6961  0.3892
Ag  0.9219  0.8039  0.8892
Os  0.4922  0.6306  0.2651
Os  0.4922  0.8694  0.7651
Os  0.5078  0.1306  0.2349
Os  0.5078  0.3694  0.7349
Se  0.2713  0.6118  0.9342
Se  0.2713  0.8882  0.4342
Se  0.7287  0.1118  0.5658
Se  0.7287  0.3882  0.0658
O  0.3701  0.1244  0.9086
O  0.3701  0.3756  0.4086
O  0.6299  0.6244  0.5914
O  0.6299  0.8756  0.0914

Values from the calculation:
The energy comes out at -5.66 eV per atom. Its excess energy over the best structure of this formula in the dataset is 62 meV/atom.


Density functional theory data (PBE) for crystalline Gd3Cd2Ga2GePd at its relaxed geometry.

Unit cell a=4.3944 b=7.2291 c=7.2291 alpha=120.76 beta=90.00 gamma=90.00
Positions (direct):
Gd  0.0000  0.0000  0.0000
Gd  0.0000  0.4153  0.8286
Gd  0.0000  0.8286  0.4153
Cd  0.5000  0.1734  0.4169
Cd  0.5000  0.4169  0.1734
Ga  0.5000  0.0780  0.7513
Ga  0.5000  0.7513  0.0780
Ge  0.5000  0.6690  0.6690
Pd  0.0000  0.4483  0.4483

Values from the calculation:
The energy comes out at -4.16 eV per atom.